(1)
{"formula": "HfAsO", "functional": "PBE", "state": "relaxed", "raw_formation_energy_mev_per_atom": -1720, "e_tot_ry_per_atom": -0.60566, "total_magnetization_mub_per_cell": 0.00, "dos_at_fermi_per_ev_atom": 0.416, "de_polymorph_kj_per_mol_fu": 0, "lattice_angstrom": [[6.120, 0.662, 1.068], [-2.009, 3.783, 0.377], [2.101, 3.100, 5.001]], "species": ["O", "O", "As", "As", "Hf", "Hf"], "frac_coords": [[0.354, 0.500, 0.646], [0.854, 0.500, 0.146], [0.142, 0.000, 0.358], [0.642, 0.000, 0.858], [0.852, 0.000, 0.148], [0.352, 0.000, 0.648]]}



(2)
{"formula": "HfAsO2", "functional": "PBE", "state": "relaxed", "raw_formation_energy_mev_per_atom": -1769, "e_tot_ry_per_atom": -0.58058, "total_magnetization_mub_per_cell": 0.00, "dos_at_fermi_per_ev_atom": 0.260, "lattice_angstrom": [[6.067, 0.000, 0.000], [0.000, 6.067, 0.000], [3.034, 3.034, 4.504]], "species": ["Hf", "Hf", "O", "O", "O", "O", "As", "As"], "frac_coords": [[0.750, 0.250, 0.500], [0.000, 0.000, 0.000], [0.375, 0.196, 0.750], [0.946, 0.625, 0.250], [0.875, 0.054, 0.750], [0.804, 0.125, 0.250], [0.500, 0.500, 0.000], [0.250, 0.750, 0.500]]}